## Cr2FeBr (PBE-GGA)

Data for Cr2FeBr after structural relaxation.

Cell and atoms, written as extended XYZ:
```
4
Lattice="4.9741 -0.0387 0.0015 2.4442 4.3323 -0.0015 -3.2910 -2.8692 2.3832" Properties=species:S:1:pos:R:3 pbc="T T T"
Br 1.4312 1.8049 1.1909
Cr 0.0879 0.0509 0.0000
Cr 3.6213 2.0959 0.0000
Fe 2.6961 -0.3805 1.1923
```

SG: Immm
calculated density: 7720 kg/m³
calculated volume: 12.89 Å³ per atom
calculated total energy: -25.9 eV/cell
total magnetization: 0.575 μB per cell

---

## CrFe2Br (PBE-GGA)

Data for CrFe2Br after structural relaxation.

Cell and atoms, written as extended XYZ:
```
4
Lattice="-4.0976 -0.2616 -4.9322 -1.6901 -4.6289 -4.1113 0.7987 2.3218 5.9293" Properties=species:S:1:pos:R:3 pbc="T T T"
Br -3.2661 -2.7598 -5.1035
Cr -2.1559 -2.5986 -1.7633
Fe -5.1976 -4.3918 -8.1215
Fe -3.0508 -0.1540 -1.6912
```

SG: Imm2
calculated density: 5563 kg/m³
calculated volume: 18.18 Å³ per atom
calculated total energy: -25.8 eV/cell
total magnetization: 1.485 μB per cell

---

## CrFe2Br (PBE-GGA)

Data for CrFe2Br after structural relaxation.

Cell and atoms, written as extended XYZ:
```
4
Lattice="5.2047 0.0139 -0.0037 2.5840 4.5180 0.0037 -3.4463 -3.0359 2.4485" Properties=species:S:1:pos:R:3 pbc="T T T"
Br 2.8264 -0.3781 1.2224
Cr 1.5160 1.8740 1.2261
Fe 0.0591 0.0344 0.0000
Fe 3.8352 2.2315 0.0000
```

SG: Immm
calculated density: 7032 kg/m³
calculated volume: 14.38 Å³ per atom
calculated total energy: -25.0 eV/cell
total magnetization: 7.737 μB per cell

---

## CrFeBr (PBE-GGA)

Data for CrFeBr after structural relaxation.

Cell and atoms, written as extended XYZ:
```
3
Lattice="4.1390 0.0000 0.0000 2.0695 3.5845 0.0000 2.0695 1.1948 3.3795" Properties=species:S:1:pos:R:3 pbc="T T T"
Br 0.0000 0.0000 0.0000
Cr 4.1390 2.3897 1.6897
Fe 2.0695 1.1948 0.8449
```

SG: F-43m
calculated density: 6218 kg/m³
calculated volume: 16.71 Å³ per atom
calculated total energy: -17.3 eV/cell
total magnetization: 2.608 μB per cell